1.
5
Lattice="5.262 0.000 0.000 0.000 5.262 0.000 0.000 0.000 5.470" Properties=species:S:1:pos:R:3 comment="SbMoSeI2, optimized geometry, DFT GGA-PBE" e_above_lowest_polymorph_ev_per_atom=0.000 raw_formation_energy_ev_per_atom=0.6184 dos_at_fermi_per_ev_cell=4.99 pbc="T T T"
Sb 0.000 0.000 0.000
Mo 0.000 0.000 2.735
Se 2.631 2.631 0.000
I 0.000 2.631 2.735
I 2.631 0.000 2.735

2.
5
Lattice="5.742 0.000 0.000 0.000 5.742 0.000 0.000 0.000 5.504" Properties=species:S:1:pos:R:3 comment="SbMoSeI2, optimized geometry, DFT GGA-PBE" e_above_lowest_polymorph_ev_per_atom=0.592 raw_formation_energy_ev_per_atom=1.2108 dos_at_fermi_per_ev_cell=6.51 pbc="T T T"
Sb 0.000 0.000 0.000
Mo 2.871 2.871 0.000
Se 0.000 0.000 2.752
I 0.000 2.871 2.752
I 2.871 0.000 2.752

3.
5
Lattice="5.291 0.000 0.000 0.000 5.291 0.000 0.000 0.000 5.198" Properties=species:S:1:pos:R:3 comment="Sb2MoSeI, optimized geometry, DFT GGA-PBE" e_above_lowest_polymorph_ev_per_atom=0.000 raw_formation_energy_ev_per_atom=0.5512 dos_at_fermi_per_ev_cell=4.49 pbc="T T T"
Sb 0.000 2.646 0.000
Sb 2.646 0.000 0.000
Mo 0.000 0.000 0.000
Se 2.646 2.646 2.599
I 0.000 0.000 2.599

4.
5
Lattice="5.388 0.000 0.000 0.000 5.388 0.000 0.000 0.000 5.702" Properties=species:S:1:pos:R:3 comment="Sb2MoSeI, optimized geometry, DFT GGA-PBE" e_above_lowest_polymorph_ev_per_atom=0.724 raw_formation_energy_ev_per_atom=1.2753 dos_at_fermi_per_ev_cell=3.73 pbc="T T T"
Sb 0.000 2.694 0.000
Sb 2.694 0.000 0.000
Mo 0.000 0.000 2.851
Se 2.694 2.694 0.000
I 2.694 2.694 2.851